VASP calculation (GGA-PBE) on crystalline HoCo3B2 at its relaxed geometry.

Unit cell a=3.3049 b=8.3483 c=8.3483 alpha=120.00 beta=90.00 gamma=90.00
Last column: nearest neighbours and their distance in Å.
Positions (direct):
Co: 0.5000 0.0000 0.5000  4 B 2.27, 4 Co 2.43
Co: 0.5000 0.5000 0.5000  4 B 2.27, 4 Co 2.43
Co: 0.0000 0.7141 0.0000  4 B 2.14, 2 Co 2.39
Co: 0.0000 0.0000 0.2859  4 B 2.14, 2 Co 2.39
Co: 0.0000 0.7141 0.7141  4 B 2.14, 2 Co 2.39
Co: 0.0000 0.2859 0.0000  4 B 2.14, 2 Co 2.39
Co: 0.0000 0.2859 0.2859  4 B 2.14, 2 Co 2.39
Co: 0.0000 0.0000 0.7141  4 B 2.14, 2 Co 2.39
Co: 0.5000 0.5000 0.0000  4 B 2.27, 4 Co 2.43
Ho: 0.5000 0.0000 0.0000  6 B 2.72, 12 Co 2.90
Ho: 0.0000 0.3333 0.6667  6 B 2.67, 6 Co 2.92
Ho: 0.0000 0.6667 0.3333  6 B 2.67, 6 Co 2.92
B: 0.5000 0.3759 0.1879  6 Co 2.14-2.27
B: 0.5000 0.8121 0.6241  6 Co 2.14-2.27
B: 0.5000 0.1879 0.3759  6 Co 2.14-2.27
B: 0.5000 0.1879 0.8121  6 Co 2.14-2.27
B: 0.5000 0.6241 0.8121  6 Co 2.14-2.27
B: 0.5000 0.8121 0.1879  6 Co 2.14-2.27

Results
Magnetization, μB/f.u.: 2.27
SG: P6/mmm (191)
ΔH_f (0 K), kJ/mol of formula units: -180
E_tot, eV/atom: -6.853
Crystal system: hexagonal
Excess energy over the best structure of this formula in the dataset, meV/atom: 194.3
Density of states at the Fermi level, states/eV per cell: 18.88
Density, g cm⁻³: 9.07